# 1
Density functional theory data (GGA-PBEsol) for MnTlHg after structural relaxation.

Calculated values
Volume (Å³ per cell): 60.81
Crystal system: tetragonal
Magnetic moment (μB per formula unit): 3.87
DFT formation energy (eV/atom): 0.39
Energy above the lowest structure with this stoichiometry (meV/atom): 0
Final energy (eV per atom): -3.93

Cell and atoms, written as POSCAR:
```
MnTlHg
1.0
-1.5853 1.5853 6.0495
1.5853 -1.5853 6.0495
1.5853 1.5853 -6.0495
Mn Tl Hg
1 1 1
direct
0.0000 0.0000 0.0000 Mn
0.6599 0.6599 0.0000 Tl
0.3593 0.3593 0.0000 Hg
```

---

# 2
Density functional theory data (GGA-PBEsol) for FeGe2SbO after structural relaxation.

Calculated values
Volume (Å³ per cell): 82.28
Crystal system: tetragonal
Magnetic moment (μB per formula unit): 0.00
Final energy (eV per atom): -5.96
Energy relative to the elements, uncorrected (eV per atom): -0.234

Cell and atoms, written as POSCAR:
```
FeGe2SbO
1.0
4.9240 0.0000 0.0000
0.0000 4.9240 0.0000
0.0000 0.0000 3.3936
Fe Ge Sb O
1 2 1 1
direct
0.0000 0.0000 0.0000 Fe
0.0000 0.5000 0.0000 Ge
0.5000 0.0000 0.0000 Ge
0.5000 0.5000 0.5000 Sb
0.0000 0.0000 0.5000 O
```

---

# 3
Density functional theory data (GGA-PBEsol) for FeTc2Os after structural relaxation.

Calculated values
Volume (Å³ per cell): 53.27
Crystal system: orthorhombic
Magnetic moment (μB per formula unit): 2.78
DFT formation energy (eV/atom): 0.22
Energy above the lowest structure with this stoichiometry (meV/atom): 137
Final energy (eV per atom): -10.71

Cell and atoms, written as POSCAR:
```
FeTc2Os
1.0
-1.4926 2.0847 4.2798
1.4926 -2.0847 4.2798
1.4926 2.0847 -4.2798
Fe Tc Os
1 2 1
direct
0.0000 0.0000 0.0000 Fe
0.2324 0.7324 0.5000 Tc
0.7676 0.2676 0.5000 Tc
0.5000 0.5000 0.0000 Os
```

---

# 4
Density functional theory data (GGA-PBEsol) for Li3Pt after structural relaxation.

Calculated values
Volume (Å³ per cell): 56.30
Crystal system: monoclinic
Magnetic moment (μB per formula unit): 0.00
DFT formation energy (eV/atom): -0.34
Energy above the lowest structure with this stoichiometry (meV/atom): 15
Final energy (eV per atom): -3.55

Cell and atoms, written as POSCAR:
```
Li3Pt
1.0
2.7019 0.0000 0.0000
0.0000 4.2282 0.0000
-0.7773 0.0000 4.9282
Li Pt
3 1
direct
0.0000 0.0000 0.0000 Li
0.2125 0.5000 0.7229 Li
0.7875 0.5000 0.2771 Li
0.5000 0.0000 0.5000 Pt
```

---

# 5
Density functional theory data (GGA-PBEsol) for Zr2CdIr after structural relaxation.

Calculated values
Volume (Å³ per cell): 74.19
Crystal system: orthorhombic
Magnetic moment (μB per formula unit): 0.00
DFT formation energy (eV/atom): -0.35
Final energy (eV per atom): -7.65

Cell and atoms, written as POSCAR:
```
Zr2CdIr
1.0
3.0461 -3.9519 0.0000
3.0461 3.9519 0.0000
0.0000 0.0000 3.0814
Zr Cd Ir
2 1 1
direct
0.0000 0.5000 0.0000 Zr
0.5000 0.0000 0.0000 Zr
0.0000 0.0000 0.5000 Cd
0.5000 0.5000 0.5000 Ir
```

---

# 6
Density functional theory data (GGA-PBEsol) for KTl2I2 after structural relaxation.

Calculated values
Volume (Å³ per cell): 208.11
Crystal system: tetragonal
Magnetic moment (μB per formula unit): 0.00
Final energy (eV per atom): -2.52
Energy relative to the elements, uncorrected (eV per atom): -0.531

Cell and atoms, written as POSCAR:
```
KTl2I2
1.0
-3.1876 3.1876 5.1203
3.1876 -3.1876 5.1203
3.1876 3.1876 -5.1203
K Tl I
1 2 2
direct
0.0000 0.0000 0.0000 K
0.3478 0.3478 0.0000 Tl
0.6522 0.6522 0.0000 Tl
0.2500 0.7500 0.5000 I
0.7500 0.2500 0.5000 I
```

---

# 7
Density functional theory data (GGA-PBEsol) for BeGeP2 after structural relaxation.

Calculated values
Volume (Å³ per cell): 137.86
Crystal system: tetragonal
Magnetic moment (μB per formula unit): 0.00
DFT formation energy (eV/atom): -0.26
Final energy (eV per atom): -5.39

Cell and atoms, written as POSCAR:
```
BeGeP2
1.0
-2.5795 2.5795 5.1798
2.5795 -2.5795 5.1798
2.5795 2.5795 -5.1798
Be Ge P
2 2 4
direct
0.0000 0.0000 0.0000 Be
0.7500 0.2500 0.5000 Be
0.2500 0.7500 0.5000 Ge
0.5000 0.5000 0.0000 Ge
0.0965 0.6250 0.9715 P
0.3750 0.3465 0.4715 P
0.6535 0.1250 0.0285 P
0.8750 0.9035 0.5285 P
```

---

# 8
Density functional theory data (GGA-PBEsol) for Li3VP2O8 after structural relaxation.

Calculated values
Volume (Å³ per cell): 273.78
Crystal system: monoclinic
Magnetic moment (μB per formula unit): 2.00
Energy above the lowest structure with this stoichiometry (meV/atom): 6
Final energy (eV per atom): -7.26
Energy relative to the elements, uncorrected (eV per atom): -2.322

Cell and atoms, written as POSCAR:
```
Li3VP2O8
1.0
4.5541 -2.3148 0.0000
4.5541 2.3148 0.0000
-2.0235 0.0000 12.9853
Li V P O
6 2 4 16
direct
0.0500 0.9500 0.7500 Li
0.2965 0.3687 0.3451 Li
0.3687 0.2965 0.8451 Li
0.6313 0.7035 0.1549 Li
0.7035 0.6313 0.6549 Li
0.9500 0.0500 0.2500 Li
0.0000 0.0000 0.0000 V
0.0000 0.0000 0.5000 V
0.3202 0.3633 0.1143 P
0.3633 0.3202 0.6143 P
0.6367 0.6798 0.3857 P
0.6798 0.6367 0.8857 P
0.0289 0.3429 0.0840 O
0.1758 0.5036 0.7112 O
0.1871 0.7310 0.1321 O
0.2177 0.5561 0.5278 O
0.2690 0.8129 0.3679 O
0.3429 0.0289 0.5840 O
0.4439 0.7823 0.9722 O
0.4964 0.8242 0.7888 O
0.5036 0.1758 0.2112 O
0.5561 0.2177 0.0278 O
0.6571 0.9711 0.4160 O
0.7310 0.1871 0.6321 O
0.7823 0.4439 0.4722 O
0.8129 0.2690 0.8679 O
0.8242 0.4964 0.2888 O
0.9711 0.6571 0.9160 O
```

---

# 9
Density functional theory data (GGA-PBEsol) for Co3W3N after structural relaxation.

Calculated values
Volume (Å³ per cell): 323.80
Crystal system: cubic
Magnetic moment (μB per formula unit): 0.68
Final energy (eV per atom): -10.64
Energy relative to the elements, uncorrected (eV per atom): -0.185

Cell and atoms, written as POSCAR:
```
Co3W3N
1.0
0.0000 5.4503 5.4503
5.4503 0.0000 5.4503
5.4503 5.4503 0.0000
Co W N
12 12 4
direct
0.0000 0.0000 0.0000 Co
0.0000 0.0000 0.5000 Co
0.0000 0.5000 0.0000 Co
0.1308 0.7897 0.7897 Co
0.2103 0.2103 0.2103 Co
0.2103 0.2103 0.8692 Co
0.2103 0.8692 0.2103 Co
0.5000 0.0000 0.0000 Co
0.7897 0.1308 0.7897 Co
0.7897 0.7897 0.1308 Co
0.7897 0.7897 0.7897 Co
0.8692 0.2103 0.2103 Co
0.1679 0.1679 0.5821 W
0.1679 0.5821 0.1679 W
0.1679 0.5821 0.5821 W
0.4179 0.4179 0.8321 W
0.4179 0.8321 0.4179 W
0.4179 0.8321 0.8321 W
0.5821 0.1679 0.1679 W
0.5821 0.1679 0.5821 W
0.5821 0.5821 0.1679 W
0.8321 0.4179 0.4179 W
0.8321 0.4179 0.8321 W
0.8321 0.8321 0.4179 W
0.0000 0.5000 0.5000 N
0.5000 0.0000 0.5000 N
0.5000 0.5000 0.0000 N
0.5000 0.5000 0.5000 N
```

---

# 10
Density functional theory data (GGA-PBEsol) for La2Au after structural relaxation.

Calculated values
Volume (Å³ per cell): 260.77
Crystal system: hexagonal
Magnetic moment (μB per formula unit): 0.00
DFT formation energy (eV/atom): -0.49
Final energy (eV per atom): -5.37

Cell and atoms, written as POSCAR:
```
La2Au
1.0
7.9638 0.0000 0.0000
-3.9819 6.8968 0.0000
0.0000 0.0000 4.7478
La Au
6 3
direct
0.0000 0.2697 0.0000 La
0.0000 0.5995 0.5000 La
0.2697 0.0000 0.0000 La
0.4005 0.4005 0.5000 La
0.5995 0.0000 0.5000 La
0.7303 0.7303 0.0000 La
0.0000 0.0000 0.5000 Au
0.3333 0.6667 0.0000 Au
0.6667 0.3333 0.0000 Au
```

---

# 11
Density functional theory data (GGA-PBEsol) for DySnGe after structural relaxation.

Calculated values
Volume (Å³ per cell): 135.87
Crystal system: orthorhombic
Magnetic moment (μB per formula unit): 0.00
DFT formation energy (eV/atom): -0.70
Final energy (eV per atom): -5.42

Cell and atoms, written as POSCAR:
```
DySnGe
1.0
2.1167 -7.9953 0.0000
2.1167 7.9953 0.0000
0.0000 0.0000 4.0143
Dy Sn Ge
2 2 2
direct
0.0943 0.9057 0.7500 Dy
0.9057 0.0943 0.2500 Dy
0.2544 0.7456 0.2500 Sn
0.7456 0.2544 0.7500 Sn
0.4461 0.5539 0.7500 Ge
0.5539 0.4461 0.2500 Ge
```

---

# 12
Density functional theory data (GGA-PBEsol) for CeSmMg2 after structural relaxation.

Calculated values
Volume (Å³ per cell): 108.49
Crystal system: cubic
Magnetic moment (μB per formula unit): 0.90
DFT formation energy (eV/atom): 0.05
Final energy (eV per atom): -3.73

Cell and atoms, written as POSCAR:
```
CeSmMg2
1.0
0.0000 3.7855 3.7855
3.7855 0.0000 3.7855
3.7855 3.7855 0.0000
Ce Sm Mg
1 1 2
direct
0.0000 0.0000 0.0000 Ce
0.5000 0.5000 0.5000 Sm
0.2500 0.2500 0.2500 Mg
0.7500 0.7500 0.7500 Mg
```

---

# 13
Density functional theory data (GGA-PBEsol) for RbLiB2 after structural relaxation.

Calculated values
Volume (Å³ per cell): 73.49
Crystal system: cubic
Magnetic moment (μB per formula unit): 0.00
DFT formation energy (eV/atom): 1.92
Final energy (eV per atom): -2.33

Cell and atoms, written as POSCAR:
```
RbLiB2
1.0
0.0000 3.3245 3.3245
3.3245 0.0000 3.3245
3.3245 3.3245 0.0000
Rb Li B
1 1 2
direct
0.0000 0.0000 0.0000 Rb
0.5000 0.5000 0.5000 Li
0.2500 0.2500 0.2500 B
0.7500 0.7500 0.7500 B
```